Record 1
A plane-wave DFT calculation with GGA-PBE was carried out for a relaxed structure of RbGa2SiTc.

Results
E_form (uncorrected), meV/atom: -132
SG: No. 123
Theoretical density, Mg/m³: 4.988
D(E_F), states/eV/atom: 0.134
DFT total energy, eV per cell: -23.5
Total magnetic moment, μB/atom: 0.0000

Geometry as extended XYZ:
```
5
Lattice="4.975 0.000 0.000 0.000 4.975 0.000 0.000 0.000 4.721" Properties=species:S:1:pos:R:3 pbc="T T T"
Rb 2.487 2.487 2.361
Si 0.000 0.000 2.361
Tc 0.000 0.000 0.000
Ga 2.487 0.000 0.000
Ga 0.000 2.487 0.000
```

=====

Record 2
A plane-wave DFT calculation with GGA-PBE was carried out for a relaxed structure of TcHOsRh2.

Results
SG: No. 123
Polymorph energy (0 for the lowest one), eV per atom: 0.000
Theoretical density, Mg/m³: 13.878
D(E_F), states/eV/atom: 0.861
DFT total energy, eV per cell: -39.2
Total magnetic moment, μB/atom: 0.0000

Geometry as extended XYZ:
```
5
Lattice="3.844 0.000 0.000 0.000 3.844 0.000 0.000 0.000 4.009" Properties=species:S:1:pos:R:3 pbc="T T T"
Rh 0.000 1.922 0.000
Rh 1.922 0.000 0.000
Tc 0.000 0.000 2.005
H 0.000 0.000 0.000
Os 1.922 1.922 2.005
```

=====

Question: Which value of theoretical density does entry 2 give?
Answer: 13.878 Mg/m³

=====

Question: Which formula does entry 2 have?
Answer: TcHOsRh2

=====

Question: Among the records above, which one has the highest D(E_F)?
Answer: TcHOsRh2